a.
Computed, not measured: a relaxed structure of ReB2Ru at the GGA-PBE level of DFT.

It has space group I-42d (No. 122), with a = 5.575 Å, b = 5.575 Å, c = 5.767 Å, α = 90.00°, β = 90.00° and γ = 90.00°. The distinct sites, in fractional coordinates, are Re at (0.000, 0.000, 0.000), B at (0.243, 0.250, 0.625) and Ru at (0.000, 0.000, 0.500).

Its total magnetic moment is 0.00 μB per cell.

***

b.
Computed, not measured: a relaxed structure of ReB2Ru at the GGA-PBE level of DFT.

It has space group Fm-3m (No. 225), with a = 5.462 Å, b = 5.462 Å, c = 5.462 Å, α = 90.00°, β = 90.00° and γ = 90.00°. The distinct sites, in fractional coordinates, are Re at (0.000, 0.000, 0.000), B at (0.250, 0.250, 0.250) and Ru at (0.000, 0.000, 0.500).

Its total magnetic moment is 0.00 μB per cell.

***

b has the most favorable energy; the next structure is 7.5 kJ/mol of atoms above.

***

a.
Computed, not measured: a relaxed structure of ReBRu3 at the GGA-PBE level of DFT.

It has space group Pm-3m (No. 221), with a = 4.668 Å, b = 4.668 Å, c = 4.668 Å, α = 90.00°, β = 90.00° and γ = 90.00°. The distinct sites, in fractional coordinates, are Re at (0.000, 0.000, 0.000), B at (0.500, 0.500, 0.500) and Ru at (0.000, 0.000, 0.500).

Its total magnetic moment is 1.29 μB per cell.

***

b.
Computed, not measured: a relaxed structure of ReBRu3 at the GGA-PBE level of DFT.

It has space group Pm-3m (No. 221), with a = 4.037 Å, b = 4.037 Å, c = 4.037 Å, α = 90.00°, β = 90.00° and γ = 90.00°. The distinct sites, in fractional coordinates, are Re at (0.000, 0.000, 0.000), B at (0.500, 0.500, 0.500) and Ru at (0.000, 0.500, 0.500).

Its total magnetic moment is 0.00 μB per cell.

***

b has the most favorable energy; the next structure is 218.0 kJ/mol of atoms above.

***

a.
Computed, not measured: a relaxed structure of ReB3Ru at the GGA-PBE level of DFT.

It has space group Pm-3m (No. 221), with a = 4.042 Å, b = 4.042 Å, c = 4.042 Å, α = 90.00°, β = 90.00° and γ = 90.00°. The distinct sites, in fractional coordinates, are Re at (0.000, 0.000, 0.000), B at (0.000, 0.000, 0.500) and Ru at (0.500, 0.500, 0.500).

Its total magnetic moment is 2.17 μB per cell.

***

b.
Computed, not measured: a relaxed structure of ReB3Ru at the GGA-PBE level of DFT.

It has space group Pm-3m (No. 221), with a = 3.927 Å, b = 3.927 Å, c = 3.927 Å, α = 90.00°, β = 90.00° and γ = 90.00°. The distinct sites, in fractional coordinates, are Re at (0.000, 0.000, 0.000), B at (0.000, 0.500, 0.500) and Ru at (0.500, 0.500, 0.500).

Its total magnetic moment is 1.74 μB per cell.

***

a has the most favorable energy; the next structure is 23.8 kJ/mol of atoms above.